No. 1
La2SmHoSe4 | GGA-PBE | optimized geometry

Cell lengths 4.1621, 7.2779, 7.3820 Å; angles 108.88, 90.00, 90.00 degrees
Sites, in units of the cell vectors:
La 0.5000 0.0000 0.5000
La 0.0000 0.5000 0.5000
Sm 0.5000 0.5000 0.0000
Ho 0.0000 0.0000 0.0000
Se 0.5000 0.2387 0.2323
Se 0.5000 0.7613 0.7677
Se 0.0000 0.2495 0.7640
Se 0.0000 0.7505 0.2360

Raw total energy ... -6.02 eV/atom
Crystal system ... monoclinic
Spin magnetization ... 0.000 μB/atom

No. 2
La3SmHo2Se6 | GGA-PBE | optimized geometry

Cell lengths 7.2449, 7.2449, 7.3492 Å; angles 99.45, 99.45, 120.16 degrees
Sites, in units of the cell vectors:
La 0.1634 0.8366 0.5000
La 0.8366 0.1634 0.5000
La 0.5000 0.5000 0.5000
Sm 0.0000 0.0000 0.0000
Ho 0.3333 0.6667 0.0000
Ho 0.6667 0.3333 0.0000
Se 0.9222 0.5821 0.7663
Se 0.7365 0.7365 0.2305
Se 0.0778 0.4179 0.2337
Se 0.5821 0.9222 0.7663
Se 0.2635 0.2635 0.7695
Se 0.4179 0.0778 0.2337

Raw total energy ... -6.02 eV/atom
Crystal system ... monoclinic
Spin magnetization ... 0.000 μB/atom

No. 3
La2SmHo3Se6 | GGA-PBE | optimized geometry

Cell lengths 4.1098, 8.4371, 9.3517 Å; angles 104.55, 102.69, 90.00 degrees
Sites, in units of the cell vectors:
La 0.8341 0.6682 0.6683
La 0.1659 0.3318 0.3317
Sm 0.5000 0.0000 0.0000
Ho 0.5000 0.5000 0.0000
Ho 0.8322 0.1668 0.6645
Ho 0.1678 0.8332 0.3355
Se 0.3315 0.9308 0.6631
Se 0.6622 0.5943 0.3243
Se 0.6685 0.0692 0.3369
Se 0.9946 0.2552 0.9891
Se 0.0054 0.7448 0.0109
Se 0.3378 0.4057 0.6757

Raw total energy ... -5.94 eV/atom
Crystal system ... monoclinic
Spin magnetization ... 0.000 μB/atom

No. 4
LaSm2HoSe6 | GGA-PBE | optimized geometry

Cell lengths 7.4025, 7.4025, 7.8319 Å; angles 61.78, 61.78, 59.99 degrees
Sites, in units of the cell vectors:
La 0.8121 0.8122 0.5635
Sm 0.5190 0.5189 0.4432
Sm 0.0145 0.0146 0.9564
Ho 0.3187 0.3186 0.0439
Se 0.6046 0.2188 0.2502
Se 0.2187 0.9264 0.2501
Se 0.9265 0.6047 0.2503
Se 0.4026 0.7158 0.7525
Se 0.7158 0.1290 0.7525
Se 0.1290 0.4028 0.7526

Raw total energy ... -5.86 eV/atom
Crystal system ... trigonal
Spin magnetization ... 0.000 μB/atom

No. 5
La2SmHoSe6 | GGA-PBE | optimized geometry

Cell lengths 7.4739, 7.4739, 7.8322 Å; angles 61.50, 61.50, 60.00 degrees
Sites, in units of the cell vectors:
La 0.5222 0.5222 0.4334
La 0.0208 0.0208 0.9377
Sm 0.8160 0.8161 0.5518
Ho 0.3180 0.3179 0.0461
Se 0.6008 0.2015 0.2561
Se 0.2015 0.9416 0.2561
Se 0.9417 0.6007 0.2561
Se 0.4329 0.6979 0.7593
Se 0.6979 0.1099 0.7593
Se 0.1098 0.4331 0.7593

Raw total energy ... -5.92 eV/atom
Crystal system ... trigonal
Spin magnetization ... 0.000 μB/atom

No. 6
LaSmHoSe3 | GGA-PBE | optimized geometry

Cell lengths 4.0874, 7.2621, 10.8485 Å; angles 102.91, 90.00, 90.00 degrees
Sites, in units of the cell vectors:
La 0.2500 0.3405 0.3059
La 0.7500 0.6595 0.6941
Sm 0.2500 0.7638 0.0574
Sm 0.7500 0.2362 0.9426
Ho 0.2500 0.1216 0.6305
Ho 0.7500 0.8784 0.3695
Se 0.7500 0.0528 0.1588
Se 0.2500 0.9472 0.8412
Se 0.2500 0.7277 0.4979
Se 0.7500 0.2723 0.5021
Se 0.7500 0.5497 0.1685
Se 0.2500 0.4503 0.8315

Raw total energy ... -5.92 eV/atom
Crystal system ... monoclinic
Spin magnetization ... 0.000 μB/atom

No. 7
SrLa2HoSe4 | GGA-PBE | optimized geometry

Cell lengths 4.2435, 7.3901, 7.4365 Å; angles 109.03, 90.00, 90.00 degrees
Sites, in units of the cell vectors:
Sr 0.0000 0.0000 0.0000
La 0.5000 0.0000 0.5000
La 0.0000 0.5000 0.5000
Ho 0.5000 0.5000 0.0000
Se 0.5000 0.2585 0.2432
Se 0.5000 0.7415 0.7568
Se 0.0000 0.2644 0.7646
Se 0.0000 0.7356 0.2354

Raw total energy ... -5.66 eV/atom
Crystal system ... monoclinic
Spin magnetization ... 0.000 μB/atom

No. 8
SrLaHo2Se4 | GGA-PBE | optimized geometry

Cell lengths 4.1674, 7.3208, 7.2819 Å; angles 71.02, 90.00, 90.00 degrees
Sites, in units of the cell vectors:
Sr 0.0000 0.5000 0.5000
La 0.5000 0.5000 0.0000
Ho 0.0000 0.0000 0.0000
Ho 0.5000 0.0000 0.5000
Se 0.0000 0.7702 0.7426
Se 0.0000 0.2298 0.2574
Se 0.5000 0.7706 0.2430
Se 0.5000 0.2294 0.7570

Raw total energy ... -5.57 eV/atom
Crystal system ... monoclinic
Spin magnetization ... 0.000 μB/atom

No. 9
La2TbHo3Se6 | GGA-PBE | optimized geometry

Cell lengths 4.1061, 8.3949, 9.3032 Å; angles 104.04, 102.75, 90.00 degrees
Sites, in units of the cell vectors:
La 0.8336 0.6668 0.6672
La 0.1664 0.3332 0.3328
Tb 0.5000 0.0000 0.0000
Ho 0.5000 0.5000 0.0000
Ho 0.8309 0.1662 0.6619
Ho 0.1691 0.8338 0.3381
Se 0.3338 0.9312 0.6676
Se 0.6619 0.5947 0.3238
Se 0.6662 0.0688 0.3324
Se 0.9943 0.2499 0.9886
Se 0.0057 0.7501 0.0114
Se 0.3381 0.4053 0.6762

Raw total energy ... -5.92 eV/atom
Crystal system ... monoclinic
Spin magnetization ... 0.000 μB/atom

No. 10
La4Tb3HoSe8 | GGA-PBE | optimized geometry

Cell lengths 8.3494, 8.4488, 8.3497 Å; angles 119.61, 120.00, 90.00 degrees
Sites, in units of the cell vectors:
La 0.5000 0.0000 0.0000
La 0.5000 0.0000 0.5000
La 0.0000 0.0000 0.0000
La 0.0000 0.0000 0.5000
Tb 0.5000 0.5000 0.0000
Tb 0.5000 0.5000 0.5000
Tb 0.0000 0.5000 0.5000
Ho 0.0000 0.5000 0.0000
Se 0.2425 0.7310 0.9883
Se 0.2431 0.7317 0.4862
Se 0.2559 0.2675 0.5117
Se 0.7458 0.7310 0.9883
Se 0.2542 0.2690 0.0117
Se 0.7441 0.7325 0.4883
Se 0.7569 0.2683 0.5138
Se 0.7575 0.2690 0.0117

Raw total energy ... -6.01 eV/atom
Crystal system ... trigonal
Spin magnetization ... 0.000 μB/atom

No. 11
LaTb3Ho2Se6 | GGA-PBE | optimized geometry

Cell lengths 7.1469, 7.1469, 7.1310 Å; angles 99.61, 99.61, 120.25 degrees
Sites, in units of the cell vectors:
La 0.0000 0.0000 0.0000
Tb 0.1596 0.8404 0.5000
Tb 0.8404 0.1596 0.5000
Tb 0.5000 0.5000 0.5000
Ho 0.3330 0.6670 0.0000
Ho 0.6670 0.3330 0.0000
Se 0.9150 0.5689 0.7449
Se 0.7365 0.7365 0.2481
Se 0.0850 0.4311 0.2551
Se 0.5689 0.9150 0.7449
Se 0.2635 0.2635 0.7519
Se 0.4311 0.0850 0.2551

Raw total energy ... -5.86 eV/atom
Crystal system ... monoclinic
Spin magnetization ... 0.000 μB/atom